(1)
Entry from Alexandria: SrY2Zn after structural relaxation (PBE).

POSCAR file:
```
SrY2Zn
1.0
-1.835 2.837 6.036
1.835 -2.837 6.036
1.835 2.837 -6.036
Sr Y Zn
1 2 1
Cartesian
0.000 0.000 0.000
1.835 0.000 3.576
0.000 2.837 2.460
0.000 0.000 6.036
```

Energy relative to the elements   -0.063 eV/atom
Theoretical density   4.371 g cm⁻³
Total magnetic moment   0.0 μB per formula unit
Space-group type   Immm (71)

(2)
Entry from Alexandria: NaDy2Tc after structural relaxation (PBE).

POSCAR file:
```
NaDy2Tc
1.0
3.464 0.000 0.000
0.000 3.464 0.000
0.000 0.000 9.109
Na Dy Tc
1 2 1
Cartesian
0.000 0.000 0.000
1.732 1.732 2.937
1.732 1.732 6.172
0.000 0.000 4.555
```

Energy relative to the elements   -0.006 eV/atom
Theoretical density   6.777 g cm⁻³
Total magnetic moment   0.0 μB per formula unit
Space-group type   P4/mmm (123)
Offset from the most stable computed form   0.000 eV/atom

(3)
Entry from Alexandria: YTiBe2Pd after structural relaxation (PBE).

POSCAR file:
```
YTiBe2Pd
1.0
4.389 0.000 0.000
0.000 4.389 0.000
0.000 0.000 5.145
Y Ti Be Pd
1 1 2 1
Cartesian
0.000 0.000 0.000
2.195 2.195 0.000
0.000 2.195 2.573
2.195 0.000 2.573
0.000 0.000 2.573
```

Energy relative to the elements   0.452 eV/atom
Theoretical density   4.376 g cm⁻³
Total magnetic moment   2.1 μB per formula unit
Space-group type   P4/mmm (123)

(4)
Entry from Alexandria: AgI after structural relaxation (PBE).

POSCAR file:
```
AgI
1.0
8.052 0.000 0.000
0.000 8.052 0.000
0.000 0.000 8.052
Ag I
8 8
Cartesian
1.162 1.162 1.162
1.162 2.864 5.188
2.864 5.188 1.162
2.864 6.890 5.188
5.188 1.162 2.864
5.188 2.864 6.890
6.890 5.188 2.864
6.890 6.890 6.890
1.182 5.208 6.870
1.182 6.870 2.844
2.844 1.182 6.870
2.844 2.844 2.844
5.208 5.208 5.208
5.208 6.870 1.182
6.870 1.182 5.208
6.870 2.844 1.182
```

Energy   -2.4081 eV/atom
Theoretical density   5.974 g cm⁻³
Total magnetic moment   0.0 μB per formula unit
Space-group type   Pa-3 (205)

(5)
Entry from Alexandria: Ca3Cd3Au8 after structural relaxation (PBE).

POSCAR file:
```
Ca3Cd3Au8
1.0
-2.241 5.119 6.894
2.241 -5.119 6.894
2.241 5.119 -6.894
Ca Cd Au
3 3 8
Cartesian
0.000 0.000 0.000
0.000 0.000 3.965
0.000 0.000 9.824
2.241 3.143 0.000
0.000 5.119 0.000
0.000 1.976 6.894
2.241 -1.345 2.175
2.241 -2.085 4.960
2.241 1.345 2.175
0.000 3.034 1.935
2.241 2.085 4.960
0.000 3.774 4.719
0.000 7.204 1.935
0.000 6.464 4.719
```

Energy relative to the elements   -0.495 eV/atom
Theoretical density   10.672 g cm⁻³
Total magnetic moment   0.0 μB per formula unit
Space-group type   Immm (71)

(6)
Entry from Alexandria: CsSnP2Cl after structural relaxation (PBE).

POSCAR file:
```
CsSnP2Cl
1.0
5.599 0.000 0.000
0.000 5.599 0.000
0.000 0.000 5.928
Cs Sn P Cl
1 1 2 1
Cartesian
0.000 0.000 0.000
2.800 2.800 2.964
0.000 2.800 0.000
2.800 0.000 0.000
0.000 0.000 2.964
```

Theoretical density   3.119 g cm⁻³
Total magnetic moment   1.5 μB per formula unit
Space-group type   P4/mmm (123)
Offset from the most stable computed form   1.210 eV/atom

(7)
Entry from Alexandria: SrMg6BiO8 after structural relaxation (PBE).

POSCAR file:
```
SrMg6BiO8
1.0
4.588 0.000 0.000
0.000 4.588 0.000
0.000 0.000 9.645
Sr Mg Bi O
1 6 1 8
Cartesian
0.000 0.000 0.000
0.000 0.000 4.822
0.000 2.294 2.777
0.000 2.294 6.867
2.294 0.000 2.777
2.294 0.000 6.867
2.294 2.294 4.822
2.294 2.294 0.000
0.000 0.000 2.695
0.000 0.000 6.949
0.000 2.294 0.000
0.000 2.294 4.822
2.294 0.000 0.000
2.294 0.000 4.822
2.294 2.294 2.815
2.294 2.294 6.829
```

Theoretical density   4.666 g cm⁻³
Total magnetic moment   0.0 μB per formula unit
Space-group type   P4/mmm (123)
Offset from the most stable computed form   0.000 eV/atom

(8)
Entry from Alexandria: V4SbC after structural relaxation (PBE).

POSCAR file:
```
V4SbC
1.0
6.851 0.000 0.000
0.000 5.151 0.000
-0.892 0.000 4.862
V Sb C
8 2 2
Cartesian
0.269 0.699 1.853
-0.177 1.876 4.284
1.435 3.035 2.209
0.989 4.691 4.640
4.970 0.460 0.222
4.524 2.116 2.653
6.136 3.275 0.578
5.690 4.452 3.009
2.980 0.000 2.431
3.426 2.575 0.000
0.000 0.000 0.000
-0.446 2.575 2.431
```

Energy   -8.3535 eV/atom
Theoretical density   6.534 g cm⁻³
Total magnetic moment   0.0 μB per formula unit
Space-group type   P2_1/c (14)